[1]
VASP calculation (PBE) on K2PBr after structural relaxation.

The space group is Imm2 (No. 44) and the conventional cell measures 4.274, 4.385 and 16.040 Å, with angles of 90.00, 90.00 and 90.00 degrees. The inequivalent atoms are K at (0.000, 0.000, 0.000), K at (0.000, 0.500, 0.248), P at (0.000, 0.500, 0.836) and Br at (0.000, 0.000, 0.585).

As for the energy relative to the elements, uncorrected: -0.52 eV per atom. The value obtained for the relative energy among the computed polymorphs is 73 meV per atom.

[2]
VASP calculation (PBE) on La2Pm5NdY after structural relaxation.

The space group is I4/mcm (No. 140) and the conventional cell measures 8.796, 8.796 and 16.310 Å, with angles of 90.00, 90.00 and 90.00 degrees. The inequivalent atoms are La at (0.119, 0.381, 0.000), Pm at (0.000, 0.000, 0.000), Pm at (0.218, 0.282, 0.358), Nd at (0.000, 0.000, 0.250) and Y at (0.000, 0.500, 0.250).

The formation energy from the elements comes out at 2.2 eV per formula unit.

[3]
VASP calculation (PBE) on GdHo2Hf after structural relaxation.

The space group is P4/mmm (No. 123) and the conventional cell measures 4.836, 4.836 and 4.833 Å, with angles of 90.00, 90.00 and 90.00 degrees. The inequivalent atoms are Gd at (0.000, 0.000, 0.000), Ho at (0.000, 0.500, 0.500) and Hf at (0.500, 0.500, 0.000).

The formation energy from the elements comes out at 0.5 eV per formula unit. The value obtained for the relative energy among the computed polymorphs is 24 meV per atom.

[4]
VASP calculation (PBE) on PrAg3Au8 after structural relaxation.

The space group is P3m1 (No. 156) and the conventional cell measures 5.5313, 5.5313 and 9.1745 Å, with angles of 90.00, 90.00 and 120.00 degrees. The inequivalent atoms are Pr at (0.0000, 0.0000, 0.0000), Ag at (0.0000, 0.0000, 0.3940), Ag at (0.6667, 0.3333, 0.4849), Ag at (0.6667, 0.3333, 0.8438), Au at (0.1640, 0.3279, 0.6872), Au at (0.3333, 0.6667, 0.4394), Au at (0.3333, 0.6667, 0.9391) and Au at (0.5036, 0.0073, 0.1927).

The formation energy from the elements comes out at -2.1 eV per formula unit.

[5]
VASP calculation (PBE) on Zn2Ga2Tc after structural relaxation.

The space group is C2/m (No. 12) and the conventional cell measures 8.930, 3.470 and 6.517 Å, with angles of 90.00, 132.71 and 90.00 degrees. The inequivalent atoms are Zn at (0.108, 0.000, 0.409), Ga at (0.204, 0.500, 0.810) and Tc at (0.000, 0.500, 0.000).

The formation energy from the elements comes out at -0.3 eV per formula unit. The value obtained for the relative energy among the computed polymorphs is 0 meV per atom.

[6]
VASP calculation (PBE) on AlTc2Ir after structural relaxation.

The space group is P4/mmm (No. 123) and the conventional cell measures 4.554, 4.554 and 2.809 Å, with angles of 90.00, 90.00 and 90.00 degrees. The inequivalent atoms are Al at (0.000, 0.000, 0.000), Tc at (0.000, 0.500, 0.500) and Ir at (0.500, 0.500, 0.000).

The formation energy from the elements comes out at -0.3 eV per formula unit.

[7]
VASP calculation (PBE) on HoZnAsS after structural relaxation.

The space group is R-3m (No. 166, hexagonal axes) and the conventional cell measures 4.2828, 4.2828 and 33.3420 Å, with angles of 90.00, 90.00 and 120.00 degrees. The inequivalent atoms are Ho at (0.0000, 0.0000, 0.1094), Zn at (0.0000, 0.0000, 0.3058), As at (0.0000, 0.0000, 0.3840) and S at (0.0000, 0.0000, 0.1971).

As for the energy relative to the elements, uncorrected: -1.12 eV per atom.

[8]
VASP calculation (PBE) on Cr2GeMo after structural relaxation.

The space group is I-42d (No. 122) and the conventional cell measures 6.795, 6.795 and 5.202 Å, with angles of 90.00, 90.00 and 90.00 degrees. The inequivalent atoms are Cr at (0.245, 0.750, 0.125), Ge at (0.000, 0.000, 0.500) and Mo at (0.000, 0.000, 0.000).

The formation energy from the elements comes out at 2.9 eV per formula unit.

[9]
VASP calculation (PBE) on Y7Tl2Au2 after structural relaxation.

The space group is Cmmm (No. 65) and the conventional cell measures 8.284, 11.294 and 7.206 Å, with angles of 90.00, 90.00 and 90.00 degrees. The inequivalent atoms are Y at (0.000, 0.000, 0.000), Y at (0.000, 0.500, 0.248), Y at (0.250, 0.250, 0.260), Tl at (0.180, 0.000, 0.500) and Au at (0.000, 0.291, 0.000).

The formation energy from the elements comes out at -3.1 eV per formula unit.

[10]
VASP calculation (PBE) on LiPm3Dy3S8 after structural relaxation.

The space group is R-3m (No. 166, hexagonal axes) and the conventional cell measures 7.8651, 7.8651 and 19.4103 Å, with angles of 90.00, 90.00 and 120.00 degrees. The inequivalent atoms are Li at (0.0000, 0.0000, 0.0000), Pm at (0.0000, 0.5000, 0.5000), Dy at (0.0000, 0.5000, 0.0000), S at (0.0000, 0.0000, 0.2533) and S at (0.0032, 0.5016, 0.7458).

As for the energy relative to the elements, uncorrected: -2.00 eV per atom.

[11]
VASP calculation (PBE) on Be4Ni5Mo after structural relaxation.

The space group is P4/mmm (No. 123) and the conventional cell measures 2.616, 2.616 and 14.272 Å, with angles of 90.00, 90.00 and 90.00 degrees. The inequivalent atoms are Be at (0.000, 0.000, 0.090), Be at (0.000, 0.000, 0.274), Ni at (0.500, 0.500, 0.000), Ni at (0.500, 0.500, 0.181), Ni at (0.500, 0.500, 0.364) and Mo at (0.000, 0.000, 0.500).

The formation energy from the elements comes out at -3.9 eV per formula unit.

[12]
VASP calculation (PBE) on Ho5Al2In after structural relaxation.

The space group is I4/mcm (No. 140) and the conventional cell measures 7.808, 7.808 and 14.295 Å, with angles of 90.00, 90.00 and 90.00 degrees. The inequivalent atoms are Ho at (0.000, 0.000, 0.000), Ho at (0.167, 0.333, 0.146), Al at (0.122, 0.378, 0.500) and In at (0.000, 0.000, 0.250).

The formation energy from the elements comes out at -2.7 eV per formula unit.

Number 1: Fermi-level density of states 0.288 states/eV per atom. Number 2: Fermi-level density of states 1.581 states/eV per atom. Number 3: Fermi-level density of states 1.254 states/eV per atom. Number 4: Fermi-level density of states 0.514 states/eV per atom. Number 5: Fermi-level density of states 0.521 states/eV per atom. Number 6: Fermi-level density of states 1.018 states/eV per atom. Number 7: Fermi-level density of states 0.021 states/eV per atom. Number 8: Fermi-level density of states 1.158 states/eV per atom. Number 9: Fermi-level density of states 1.016 states/eV per atom. Number 10: Fermi-level density of states 0.311 states/eV per atom. Number 11: Fermi-level density of states 0.539 states/eV per atom. Number 12: Fermi-level density of states 0.853 states/eV per atom.